! FeReOF2, relaxed, DFT PBE with a Hubbard U; values from VASP
! density	7.362	Mg/m³
! excess energy over the best structure of this formula in the dataset	0.314	eV/atom
! magnetic moment	1.92	μB per atom
&SYSTEM
  ibrav = 0, nat = 5, ntyp = 4
/
ATOMIC_SPECIES
Re 186.21 Re.upf
Fe 55.84 Fe.upf
O 16.00 O.upf
F 19.00 F.upf
ATOMIC_POSITIONS angstrom
Re 2.013 2.013 2.059
Fe 0.000 0.000 0.000
O 0.000 0.000 2.059
F 0.000 2.013 0.000
F 2.013 0.000 0.000
CELL_PARAMETERS angstrom
4.027 0.000 0.000
0.000 4.027 0.000
0.000 0.000 4.118